(1)
The following is a PBEsol calculation of an optimized crystal structure of FeSiNi, from Alexandria via LeMat-Bulk.

CIF file:
```
data_FeSiNi
_cell_length_a 2.7121
_cell_length_b 2.7121
_cell_length_c 8.5871
_cell_angle_alpha 90.00
_cell_angle_beta 90.00
_cell_angle_gamma 90.00
_space_group_name_H-M_alt 'I 4 m m'
_space_group_IT_number 107
_space_group_name_Hall 'I 4 -2'
loop_
_atom_site_label
_atom_site_type_symbol
_atom_site_fract_x
_atom_site_fract_y
_atom_site_fract_z
_atom_site_occupancy
Fe1 Fe 0.0000 0.0000 0.0000 1
Si1 Si 0.0000 0.0000 0.6537 1
Ni1 Ni 0.0000 0.0000 0.3096 1
```

Calculated values
Theoretical density (g cm⁻³): 7.5
E (eV per atom): -7.2929

(2)
The following is a PBEsol calculation of an optimized crystal structure of FeSi2Ni, from Alexandria via LeMat-Bulk.

CIF file:
```
data_FeSi2Ni
_cell_length_a 8.1442
_cell_length_b 2.7959
_cell_length_c 3.9178
_cell_angle_alpha 90.00
_cell_angle_beta 105.07
_cell_angle_gamma 90.00
_space_group_name_H-M_alt 'C 1 m 1'
_space_group_IT_number 8
loop_
_space_group_symop_operation_xyz
'x,y,z'
'x,-y,z'
'x+1/2,y+1/2,z'
'x+1/2,-y+1/2,z'
loop_
_atom_site_label
_atom_site_type_symbol
_atom_site_fract_x
_atom_site_fract_y
_atom_site_fract_z
_atom_site_occupancy
Fe1 Fe 0.0000 0.0000 0.0000 1
Si1 Si 0.2338 0.5000 0.1124 1
Si2 Si 0.4910 0.0000 0.4846 1
Ni1 Ni 0.2305 0.0000 0.6109 1
```

Calculated values
Theoretical density (g cm⁻³): 6.6
E (eV per atom): -7.2230

(3)
The following is a PBEsol calculation of an optimized crystal structure of SrFeNi2, from Alexandria via LeMat-Bulk.

CIF file:
```
data_SrFeNi2
_cell_length_a 6.2437
_cell_length_b 6.2437
_cell_length_c 6.2437
_cell_angle_alpha 90.00
_cell_angle_beta 90.00
_cell_angle_gamma 90.00
_space_group_name_H-M_alt 'F -4 3 m'
_space_group_IT_number 216
_space_group_name_Hall 'F -4 2 3'
loop_
_atom_site_label
_atom_site_type_symbol
_atom_site_fract_x
_atom_site_fract_y
_atom_site_fract_z
_atom_site_occupancy
Sr1 Sr 0.0000 0.0000 0.0000 1
Fe1 Fe 0.2500 0.2500 0.2500 1
Ni1 Ni 0.0000 0.0000 0.5000 1
Ni2 Ni 0.2500 0.2500 0.7500 1
```

Calculated values
Theoretical density (g cm⁻³): 7.1
E (eV per atom): -5.0740
Formation energy from the elements (eV/atom): 0.71

(4)
The following is a PBEsol calculation of an optimized crystal structure of Sr4FeNi, from Alexandria via LeMat-Bulk.

CIF file:
```
data_Sr4FeNi
_cell_length_a 9.3112
_cell_length_b 9.3112
_cell_length_c 9.3112
_cell_angle_alpha 90.00
_cell_angle_beta 90.00
_cell_angle_gamma 90.00
_space_group_name_H-M_alt 'F -4 3 m'
_space_group_IT_number 216
_space_group_name_Hall 'F -4 2 3'
loop_
_atom_site_label
_atom_site_type_symbol
_atom_site_fract_x
_atom_site_fract_y
_atom_site_fract_z
_atom_site_occupancy
Sr1 Sr 0.1251 0.1251 0.1251 1
Fe1 Fe 0.0000 0.0000 0.5000 1
Ni1 Ni 0.2500 0.2500 0.7500 1
```

Calculated values
Theoretical density (g cm⁻³): 3.8
E (eV per atom): -2.3972
Formation energy from the elements (eV/atom): 1.35

(5)
The following is a PBEsol calculation of an optimized crystal structure of SrFeNi, from Alexandria via LeMat-Bulk.

CIF file:
```
data_SrFeNi
_cell_length_a 6.2566
_cell_length_b 6.2566
_cell_length_c 6.2566
_cell_angle_alpha 90.00
_cell_angle_beta 90.00
_cell_angle_gamma 90.00
_space_group_name_H-M_alt 'F -4 3 m'
_space_group_IT_number 216
_space_group_name_Hall 'F -4 2 3'
loop_
_atom_site_label
_atom_site_type_symbol
_atom_site_fract_x
_atom_site_fract_y
_atom_site_fract_z
_atom_site_occupancy
Sr1 Sr 0.0000 0.0000 0.0000 1
Fe1 Fe 0.2500 0.2500 0.7500 1
Ni1 Ni 0.0000 0.0000 0.5000 1
```

Calculated values
Theoretical density (g cm⁻³): 5.5
E (eV per atom): -4.7355
Formation energy from the elements (eV/atom): 0.92

(6)
The following is a PBEsol calculation of an optimized crystal structure of SrFeNi2, from Alexandria via LeMat-Bulk.

CIF file:
```
data_SrFeNi2
_cell_length_a 3.8458
_cell_length_b 3.8458
_cell_length_c 8.4015
_cell_angle_alpha 90.00
_cell_angle_beta 90.00
_cell_angle_gamma 90.00
_space_group_name_H-M_alt 'I -4 m 2'
_space_group_IT_number 119
_space_group_name_Hall 'I -4 -2'
loop_
_atom_site_label
_atom_site_type_symbol
_atom_site_fract_x
_atom_site_fract_y
_atom_site_fract_z
_atom_site_occupancy
Sr1 Sr 0.0000 0.0000 0.0000 1
Fe1 Fe 0.0000 0.5000 0.2500 1
Ni1 Ni 0.0000 0.0000 0.5000 1
Ni2 Ni 0.0000 0.5000 0.7500 1
```

Calculated values
Theoretical density (g cm⁻³): 7.0
E (eV per atom): -5.1120
Formation energy from the elements (eV/atom): 0.67

(7)
The following is a PBEsol calculation of an optimized crystal structure of Sr2FeNi, from Alexandria via LeMat-Bulk.

CIF file:
```
data_Sr2FeNi
_cell_length_a 5.1673
_cell_length_b 5.1673
_cell_length_c 7.0945
_cell_angle_alpha 90.00
_cell_angle_beta 90.00
_cell_angle_gamma 90.00
_space_group_name_H-M_alt 'I 4/m m m'
_space_group_IT_number 139
_space_group_name_Hall '-I 4 2'
loop_
_atom_site_label
_atom_site_type_symbol
_atom_site_fract_x
_atom_site_fract_y
_atom_site_fract_z
_atom_site_occupancy
Sr1 Sr 0.0000 0.5000 0.2500 1
Fe1 Fe 0.0000 0.0000 0.0000 1
Ni1 Ni 0.0000 0.0000 0.5000 1
```

Calculated values
Theoretical density (g cm⁻³): 5.1
E (eV per atom): -4.0331
Formation energy from the elements (eV/atom): 0.67

(8)
The following is a PBEsol calculation of an optimized crystal structure of TaFeNi6, from Alexandria via LeMat-Bulk.

CIF file:
```
data_TaFeNi6
_cell_length_a 7.1168
_cell_length_b 10.0706
_cell_length_c 10.0700
_cell_angle_alpha 90.00
_cell_angle_beta 90.00
_cell_angle_gamma 90.00
_space_group_name_H-M_alt 'C m m m'
_space_group_IT_number 65
_space_group_name_Hall '-C 2 2'
loop_
_atom_site_label
_atom_site_type_symbol
_atom_site_fract_x
_atom_site_fract_y
_atom_site_fract_z
_atom_site_occupancy
Ta1 Ta 0.0000 0.0000 0.2452 1
Ta2 Ta 0.0000 0.2462 0.5000 1
Fe1 Fe 0.0000 0.2464 0.0000 1
Fe2 Fe 0.0000 0.5000 0.2435 1
Ni1 Ni 0.0000 0.0000 0.0000 1
Ni2 Ni 0.0000 0.0000 0.5000 1
Ni3 Ni 0.0000 0.2521 0.2466 1
Ni4 Ni 0.0000 0.5000 0.0000 1
Ni5 Ni 0.0000 0.5000 0.5000 1
Ni6 Ni 0.2459 0.3737 0.1227 1
Ni7 Ni 0.2458 0.3764 0.3728 1
```

Calculated values
Theoretical density (g cm⁻³): 10.8
E (eV per atom): -7.5058
Formation energy from the elements (eV/atom): -0.20